1.
Material: Ta2Ru2Au
Method: DFT, PBE
State: relaxed

Computed properties:
ρ in g/cm3: 14.98
Energy above the most stable polymorph in this dataset in eV per formula unit: 0.00
DFT total energy in eV per atom: -9.2854
Magnetization in μB/f.u.: 0.00
Energy of formation in eV per atom: -0.179

Lattice parameters (Å, degrees): 7.448 7.448 3.042 90.00 90.00 90.00
Space group P4/mbm (No. 127)
Symmetry-distinct sites (fractional):
Ta (0.159, 0.341, 0.000)
Ru (0.139, 0.639, 0.500)
Au (0.000, 0.000, 0.500)



2.
Material: LiErSO4
Method: DFT, PBE
State: relaxed

Computed properties:
ρ in g/cm3: 4.68
Raw formation energy in eV/atom: -2.01
DFT total energy in eV per atom: -6.3603
Magnetization in μB/f.u.: 0.00

Lattice parameters (Å, degrees): 6.757 7.228 7.853 90.00 90.00 90.00
Space group Imma (No. 74)
Symmetry-distinct sites (fractional):
Li (0.000, 0.000, 0.000)
Er (0.250, 0.250, 0.250)
S (0.000, 0.250, 0.662)
O (0.000, 0.054, 0.226)
O (0.181, 0.250, 0.550)



3.
Material: TiCl
Method: DFT, PBE
State: relaxed

Computed properties:
ρ in g/cm3: 2.55
Raw formation energy in eV/atom: -0.61
DFT total energy in eV per atom: -5.4789
Magnetization in μB/f.u.: 0.00

Lattice parameters (Å, degrees): 11.716 11.716 3.165 90.00 90.00 90.00
Space group P4/m (No. 83)
Symmetry-distinct sites (fractional):
Ti (0.007, 0.614, 0.000)
Ti (0.085, 0.226, 0.500)
Cl (0.119, 0.724, 0.500)
Cl (0.192, 0.349, 0.000)